--- i ---
A relaxed structure of Ti3BTe, computed with GGA-PBE.

- Calculated density: 3.8 g/cm³
- Magnetic moment: 3.13 μB/cell
- Space group: No. 221

abc: 4.9658 4.9658 4.9658
angles: 90.00 90.00 90.00
Site moments in Bohr magnetons follow the coordinates.
Element x y z (fractional)
Ti  0.0000  0.5000  0.0000  0.90
Ti  0.0000  0.0000  0.5000  0.78
Ti  0.5000  0.0000  0.0000  0.92
B  0.5000  0.5000  0.5000  -0.08
Te  0.0000  0.0000  0.0000  -0.01



--- ii ---
A relaxed structure of Ti3BTe, computed with GGA-PBE.

- Calculated density: 5.8 g/cm³
- Magnetic moment: 0.00 μB/cell
- Space group: No. 221

abc: 4.3296 4.3296 4.3296
angles: 90.00 90.00 90.00
Element x y z (fractional)
Ti  0.0000  0.5000  0.0000
Ti  0.0000  0.0000  0.5000
Ti  0.5000  0.0000  0.0000
B  0.0000  0.0000  0.0000
Te  0.5000  0.5000  0.5000



Result of the stability comparison: i is the least stable of them.



--- i ---
A relaxed structure of Tl3BTe, computed with GGA-PBE.

- Calculated density: 9.6 g/cm³
- Magnetic moment: 0.00 μB/cell
- Space group: No. 221

abc: 5.0734 5.0734 5.0734
angles: 90.00 90.00 90.00
Element x y z (fractional)
Te  0.5000  0.5000  0.5000
Tl  0.0000  0.0000  0.5000
Tl  0.5000  0.0000  0.0000
Tl  0.0000  0.5000  0.0000
B  0.0000  0.0000  0.0000



--- ii ---
A relaxed structure of Tl3BTe, computed with GGA-PBE.

- Calculated density: 4.6 g/cm³
- Magnetic moment: 1.68 μB/cell
- Space group: No. 221

abc: 6.4660 6.4660 6.4660
angles: 90.00 90.00 90.00
Site moments in Bohr magnetons follow the coordinates.
Element x y z (fractional)
Tl  0.5000  0.0000  0.0000  0.03
Tl  0.0000  0.0000  0.5000  0.03
Tl  0.0000  0.5000  0.0000  0.02
B  0.5000  0.5000  0.5000  0.43
Te  0.0000  0.0000  0.0000  0.02



Result of the stability comparison: ii is the least stable of them.



--- i ---
A relaxed structure of TlB2Te, computed with GGA-PBE.

- Calculated density: 8.1 g/cm³
- Magnetic moment: 0.00 μB/cell
- Space group: No. 225

abc: 4.6860 4.6860 4.6860
angles: 60.00 60.00 60.00
Element x y z (fractional)
Te  0.0000  0.0000  0.0000
B  0.2500  0.2500  0.2500
B  0.7500  0.7500  0.7500
Tl  0.5000  0.5000  0.5000



--- ii ---
A relaxed structure of TlB2Te, computed with GGA-PBE.

- Calculated density: 7.6 g/cm³
- Magnetic moment: 0.00 μB/cell
- Space group: No. 122

abc: 5.4235 5.4235 6.5269
angles: 65.45 65.45 90.00
Element x y z (fractional)
B  0.1384  0.6250  0.2500
B  0.6116  0.1250  0.2500
B  0.8750  0.8616  0.7500
B  0.3750  0.3884  0.7500
Te  0.2500  0.7500  0.5000
Te  0.5000  0.5000  0.0000
Tl  0.0000  0.0000  0.0000
Tl  0.7500  0.2500  0.5000



Result of the stability comparison: i is the least stable of them.



--- i ---
A relaxed structure of Tm3BTe2, computed with GGA-PBE.

- Calculated density: 8.5 g/cm³
- Magnetic moment: 0.00 μB/cell
- Space group: No. 70

abc: 7.2131 7.2131 12.8850
angles: 101.01 101.01 108.51
Element x y z (fractional)
Tm  0.9536  0.9085  0.3140
Tm  0.1585  0.7036  0.8140
Tm  0.4466  0.9466  0.5000
Tm  0.3603  0.4055  0.3140
Tm  0.8034  0.8034  0.0000
Tm  0.8897  0.3445  0.1860
Tm  0.2964  0.8415  0.1860
Tm  0.5945  0.6397  0.6860
Tm  0.0534  0.5534  0.5000
Tm  0.0915  0.0464  0.6860
Tm  0.1966  0.1966  0.0000
Tm  0.6555  0.1103  0.8140
B  0.9162  0.9162  0.8323
B  0.3338  0.8338  0.6677
B  0.1662  0.6662  0.3323
B  0.0838  0.0838  0.1677
Te  0.5059  0.0059  0.0118
Te  0.5777  0.5777  0.1555
Te  0.6723  0.1723  0.3445
Te  0.2559  0.2559  0.5118
Te  0.9941  0.4941  0.9882
Te  0.4223  0.4223  0.8445
Te  0.7441  0.7441  0.4882
Te  0.8277  0.3277  0.6555



--- ii ---
A relaxed structure of Tm3BTe2, computed with GGA-PBE.

- Calculated density: 7.7 g/cm³
- Magnetic moment: 0.00 μB/cell
- Space group: No. 65

abc: 4.0426 5.7831 7.6577
angles: 112.19 90.00 90.00
Element x y z (fractional)
Te  0.5000  0.6615  0.3229
Te  0.5000  0.3385  0.6771
Tm  0.0000  0.5000  0.0000
Tm  0.5000  0.8881  0.7762
Tm  0.5000  0.1119  0.2238
B  0.0000  0.0000  0.0000



Result of the stability comparison: ii is the least stable of them.



--- i ---
A relaxed structure of VBTe3, computed with GGA-PBE.

- Calculated density: 5.3 g/cm³
- Magnetic moment: 1.25 μB/cell
- Space group: No. 221

abc: 5.1992 5.1992 5.1992
angles: 90.00 90.00 90.00
Site moments in Bohr magnetons follow the coordinates.
Element x y z (fractional)
V  0.0000  0.0000  0.0000  1.17
Te  0.0000  0.5000  0.0000  -0.10
Te  0.0000  0.0000  0.5000  -0.10
Te  0.5000  0.0000  0.0000  -0.10
B  0.5000  0.5000  0.5000  0.14



--- ii ---
A relaxed structure of VBTe3, computed with GGA-PBE.

- Calculated density: 6.6 g/cm³
- Magnetic moment: 2.50 μB/cell
- Space group: No. 221

abc: 4.8165 4.8165 4.8165
angles: 90.00 90.00 90.00
Site moments in Bohr magnetons follow the coordinates.
Element x y z (fractional)
Te  0.0000  0.0000  0.5000  -0.14
Te  0.5000  0.0000  0.0000  -0.14
Te  0.0000  0.5000  0.0000  -0.14
B  0.0000  0.0000  0.0000  -0.04
V  0.5000  0.5000  0.5000  2.70



Result of the stability comparison: i is the least stable of them.



--- i ---
A relaxed structure of V3BTe, computed with GGA-PBE.

- Calculated density: 6.9 g/cm³
- Magnetic moment: 0.00 μB/cell
- Space group: No. 221

abc: 4.1188 4.1188 4.1188
angles: 90.00 90.00 90.00
Element x y z (fractional)
V  0.5000  0.0000  0.0000
V  0.0000  0.5000  0.0000
V  0.0000  0.0000  0.5000
B  0.0000  0.0000  0.0000
Te  0.5000  0.5000  0.5000



--- ii ---
A relaxed structure of V3BTe, computed with GGA-PBE.

- Calculated density: 4.1 g/cm³
- Magnetic moment: 7.30 μB/cell
- Space group: No. 221

abc: 4.9113 4.9113 4.9113
angles: 90.00 90.00 90.00
Site moments in Bohr magnetons follow the coordinates.
Element x y z (fractional)
B  0.5000  0.5000  0.5000  -0.17
V  0.5000  0.0000  0.0000  2.23
V  0.0000  0.5000  0.0000  2.23
V  0.0000  0.0000  0.5000  2.23
Te  0.0000  0.0000  0.0000  -0.05



Result of the stability comparison: ii is the least stable of them.